Computed, not measured: a relaxed NdMnFeBiO6 crystal at the PBE with a Hubbard U level of DFT.

The structure in POSCAR format:
```
NdMnFeBiO6
1.0
5.473 0.000 0.000
0.000 5.771 0.000
-0.113 0.000 7.743
Nd Mn Fe Bi O
2 2 2 2 12
Direct
0.233 0.000 0.000
0.767 0.500 0.000
0.248 0.563 0.752
0.752 0.063 0.248
0.250 0.563 0.251
0.750 0.063 0.749
0.263 0.121 0.498
0.737 0.621 0.502
0.038 0.253 0.202
0.062 0.281 0.802
0.151 0.534 0.508
0.342 0.590 0.995
0.430 0.854 0.705
0.456 0.882 0.291
0.544 0.382 0.709
0.570 0.354 0.295
0.658 0.090 0.005
0.849 0.034 0.492
0.938 0.781 0.198
0.962 0.753 0.798
```

Properties
space-group type: No. 4
calculated volume: 12.23 A^3/atom
polymorph energy (0 for the lowest one): 0 meV per atom